(1)
This record from Alexandria describes a relaxed structure of NaSr2Al3Au12. The functional is PBE.

a b c (Å): 8.1218 8.1218 8.1218
angles (deg): 67.02 67.02 67.02
Last column: nearest neighbours and their distance in Å.
Element x y z (fractional)
Na 0.0000 0.0000 0.0000  6 Au 2.73
Sr 0.3930 0.3930 0.3930  6 Au 3.07-3.20
Sr 0.6070 0.6070 0.6070  6 Au 3.07-3.20
Al 0.0000 0.0000 0.5000  6 Au 2.50-2.53
Al 0.0000 0.5000 0.0000  6 Au 2.50-2.53
Al 0.5000 0.0000 0.0000  6 Au 2.50-2.53
Au 0.1226 0.6573 0.6573  2 Al 2.53
Au 0.1375 0.1375 0.6243  1 Al 2.50, 1 Na 2.73
Au 0.1375 0.6243 0.1375  1 Al 2.50, 1 Na 2.73
Au 0.3427 0.3427 0.8774  2 Al 2.53
Au 0.3427 0.8774 0.3427  2 Al 2.53
Au 0.3757 0.8625 0.8625  1 Al 2.50, 1 Na 2.73
Au 0.6243 0.1375 0.1375  1 Al 2.50, 1 Na 2.73
Au 0.6573 0.1226 0.6573  2 Al 2.53
Au 0.6573 0.6573 0.1226  2 Al 2.53
Au 0.8625 0.3757 0.8625  1 Al 2.50, 1 Na 2.73
Au 0.8625 0.8625 0.3757  1 Al 2.50, 1 Na 2.73
Au 0.8774 0.3427 0.3427  2 Al 2.53

Computed properties:
ΔE_f: -3.53 eV per formula unit


(2)
This record from Alexandria describes a relaxed structure of Na2Al2ZnAu5. The functional is PBE.

a b c (Å): 10.9986 10.9986 3.1574
angles (deg): 90.00 90.00 90.00
Last column: nearest neighbours and their distance in Å.
Element x y z (fractional)
Na 0.1705 0.3295 0.0000  3 Al 3.04-3.37, 6 Au 3.09-3.29, 2 Na 3.16
Na 0.3295 0.8295 0.0000  3 Al 3.04-3.37, 6 Au 3.09-3.29, 2 Na 3.16
Na 0.6705 0.1705 0.0000  3 Al 3.04-3.37, 6 Au 3.09-3.29, 2 Na 3.16
Na 0.8295 0.6705 0.0000  3 Al 3.04-3.37, 6 Au 3.09-3.29, 2 Na 3.16
Al 0.1338 0.6338 0.0000  6 Au 2.61
Al 0.3662 0.1338 0.0000  6 Au 2.61
Al 0.6338 0.8662 0.0000  6 Au 2.61
Al 0.8662 0.3662 0.0000  6 Au 2.61
Zn 0.0000 0.0000 0.0000  8 Au 2.72
Zn 0.5000 0.5000 0.0000  8 Au 2.72
Au 0.0000 0.5000 0.5000  4 Al 2.61
Au 0.0674 0.8105 0.5000  2 Al 2.61, 2 Zn 2.72
Au 0.1895 0.0674 0.5000  2 Al 2.61, 2 Zn 2.72
Au 0.3105 0.5674 0.5000  2 Al 2.61, 2 Zn 2.72
Au 0.4326 0.3105 0.5000  2 Al 2.61, 2 Zn 2.72
Au 0.5000 0.0000 0.5000  4 Al 2.61
Au 0.5674 0.6895 0.5000  2 Al 2.61, 2 Zn 2.72
Au 0.6895 0.4326 0.5000  2 Al 2.61, 2 Zn 2.72
Au 0.8105 0.9326 0.5000  2 Al 2.61, 2 Zn 2.72
Au 0.9326 0.1895 0.5000  2 Al 2.61, 2 Zn 2.72

Computed properties:
ΔE_f: -3.65 eV per formula unit


(3)
This record from Alexandria describes a relaxed structure of Na2AlZnAu6. The functional is PBE.

a b c (Å): 6.9874 6.9874 6.9874
angles (deg): 60.00 60.00 60.00
Last column: nearest neighbours and their distance in Å.
Element x y z (fractional)
Na 0.2500 0.2500 0.2500  12 Au 3.49
Na 0.7500 0.7500 0.7500  12 Au 3.49
Al 0.0000 0.0000 0.0000  6 Au 2.45
Zn 0.5000 0.5000 0.5000  6 Au 2.49
Au 0.2482 0.2482 0.7518  1 Al 2.45, 1 Zn 2.49
Au 0.2482 0.7518 0.2482  1 Al 2.45, 1 Zn 2.49
Au 0.2482 0.7518 0.7518  1 Al 2.45, 1 Zn 2.49
Au 0.7518 0.2482 0.2482  1 Al 2.45, 1 Zn 2.49
Au 0.7518 0.2482 0.7518  1 Al 2.45, 1 Zn 2.49
Au 0.7518 0.7518 0.2482  1 Al 2.45, 1 Zn 2.49

Computed properties:
ΔE_f: -0.61 eV per formula unit


(4)
This record from Alexandria describes a relaxed structure of NaAlZnAu. The functional is PBE.

a b c (Å): 4.6006 4.6006 4.6006
angles (deg): 60.00 60.00 60.00
Last column: nearest neighbours and their distance in Å.
Element x y z (fractional)
Na 0.0000 0.0000 0.0000  4 Al 2.82, 4 Zn 2.82
Al 0.7500 0.7500 0.7500  4 Na 2.82, 4 Au 2.82
Zn 0.2500 0.2500 0.2500  4 Na 2.82, 4 Au 2.82
Au 0.5000 0.5000 0.5000  4 Al 2.82, 4 Zn 2.82

Computed properties:
ΔE_f: -0.48 eV per formula unit
energy above the most stable polymorph in this dataset: 94 meV per atom


(5)
This record from Alexandria describes a relaxed structure of NaAlZnAu2. The functional is PBE.

a b c (Å): 6.6427 6.6427 6.6427
angles (deg): 143.78 143.78 52.16
Last column: nearest neighbours and their distance in Å.
Element x y z (fractional)
Na 0.0000 0.0000 0.0000  8 Au 3.23
Al 0.2500 0.7500 0.5000  4 Au 2.62, 4 Zn 2.92
Zn 0.7500 0.2500 0.5000  4 Au 2.62, 4 Al 2.92
Au 0.3847 0.3847 0.0000  2 Al 2.62, 2 Zn 2.62, 1 Au 2.75
Au 0.6153 0.6153 0.0000  2 Al 2.62, 2 Zn 2.62, 1 Au 2.75

Computed properties:
ΔE_f: -1.57 eV per formula unit


(6)
This record from Alexandria describes a relaxed structure of NaAlZnAu3. The functional is PBE.

a b c (Å): 8.1112 8.1112 5.6309
angles (deg): 90.00 90.00 128.47
Last column: nearest neighbours and their distance in Å.
Element x y z (fractional)
Na 0.2130 0.7870 0.7500  2 Au 3.05, 2 Zn 3.12
Na 0.7870 0.2130 0.2500  2 Au 3.05, 2 Zn 3.12
Al 0.4639 0.5361 0.2500  5 Au 2.50-2.57
Al 0.5361 0.4639 0.7500  5 Au 2.50-2.57
Zn 0.1202 0.8798 0.2500  5 Au 2.52-2.67
Zn 0.8798 0.1202 0.7500  5 Au 2.52-2.67
Au 0.2048 0.2048 0.0000  2 Al 2.57, 2 Zn 2.67, 2 Au 2.82
Au 0.2048 0.2048 0.5000  2 Al 2.57, 2 Zn 2.67, 2 Au 2.82
Au 0.2928 0.7072 0.2500  1 Al 2.50, 1 Zn 2.52
Au 0.7072 0.2928 0.7500  1 Al 2.50, 1 Zn 2.52
Au 0.7952 0.7952 0.0000  2 Al 2.57, 2 Zn 2.67, 2 Au 2.82
Au 0.7952 0.7952 0.5000  2 Al 2.57, 2 Zn 2.67, 2 Au 2.82

Computed properties:
ΔE_f: -1.12 eV per formula unit


(7)
This record from Alexandria describes a relaxed structure of NaAlZnAu6. The functional is PBE.

a b c (Å): 7.9951 7.9951 7.9951
angles (deg): 126.38 110.36 93.37
Last column: nearest neighbours and their distance in Å.
Element x y z (fractional)
Na 0.4624 0.2124 0.2500  10 Au 3.06-3.27, 2 Al 3.26
Na 0.5376 0.7876 0.7500  10 Au 3.06-3.27, 2 Al 3.26
Al 0.0000 0.0000 0.0000  6 Au 2.46-2.60
Al 0.5000 0.0000 0.5000  6 Au 2.46-2.60
Zn 0.0000 0.0000 0.5000  6 Au 2.57-2.69
Zn 0.0000 0.5000 0.0000  6 Au 2.57-2.69
Au 0.1315 0.4306 0.3052  1 Al 2.60, 1 Zn 2.69, 3 Au 2.77-2.85
Au 0.1315 0.8263 0.7009  1 Al 2.60, 1 Zn 2.69, 3 Au 2.77-2.85
Au 0.1665 0.9165 0.2500  2 Al 2.46, 2 Zn 2.57
Au 0.2590 0.5090 0.7500  8 Au 2.97-3.11, 1 Na 3.06
Au 0.3746 0.1737 0.8052  1 Al 2.60, 1 Zn 2.69, 3 Au 2.77-2.85
Au 0.3746 0.5694 0.2009  1 Al 2.60, 1 Zn 2.69, 3 Au 2.77-2.85
Au 0.6254 0.4306 0.7991  1 Al 2.60, 1 Zn 2.69, 3 Au 2.77-2.85
Au 0.6254 0.8263 0.1948  1 Al 2.60, 1 Zn 2.69, 3 Au 2.77-2.85
Au 0.7410 0.4910 0.2500  8 Au 2.97-3.11, 1 Na 3.06
Au 0.8335 0.0835 0.7500  2 Al 2.46, 2 Zn 2.57
Au 0.8685 0.1737 0.2991  1 Al 2.60, 1 Zn 2.69, 3 Au 2.77-2.85
Au 0.8685 0.5694 0.6948  1 Al 2.60, 1 Zn 2.69, 3 Au 2.77-2.85

Computed properties:
ΔE_f: -1.25 eV per formula unit


(8)
This record from Alexandria describes a relaxed structure of NaAlZnAu. The functional is PBE.

a b c (Å): 4.4588 4.4588 5.8172
angles (deg): 111.48 111.48 60.03
Last column: nearest neighbours and their distance in Å.
Element x y z (fractional)
Na 0.0000 0.0000 0.0000  1 Au 2.97, 1 Zn 3.01
Al 0.5219 0.5219 0.5645  3 Au 2.57-2.58, 3 Zn 2.67
Zn 0.8117 0.8117 0.4295  3 Al 2.67, 3 Au 2.67
Au 0.1880 0.1880 0.5629  3 Al 2.57-2.58, 3 Zn 2.67

Computed properties:
ΔE_f: -0.86 eV per formula unit
energy above the most stable polymorph in this dataset: 0 meV per atom